DFT (SCAN) results for BaAsPb2 at its PBEsol-relaxed geometry.

Results
**Magnetic moment**: 0.0 μB/f.u.
**Crystal system**: monoclinic
**Space group**: Cm, No. 8
**Energy of formation from the pure elements**: -505 meV/atom
**E**: -213.3 eV/cell
**Calculated volume**: 31.519 A^3/atom

a b c (Å): 4.194 5.817 5.944
angles (deg): 109.74 90.00 111.13
Atoms (fractional coordinates):
Ba 0.229 0.459 0.743
As 0.492 0.984 0.399
Pb 0.009 0.019 0.074
Pb 0.769 0.538 0.284